# LiMgAu2 PBE-GGA relaxed
data_LiMgAu2
_chemical_formula_sum 'Li1 Mg1 Au2'
_cell_length_a 3.1622
_cell_length_b 3.3645
_cell_length_c 6.2545
_cell_angle_alpha 90.00
_cell_angle_beta 90.00
_cell_angle_gamma 90.00
_symmetry_space_group_name_H-M 'P m m m'
_symmetry_Int_Tables_number 47
_symmetry_space_group_name_Hall '-P 2 2'
loop_
_atom_site_label
_atom_site_fract_x
_atom_site_fract_y
_atom_site_fract_z
Li1 0.0000 0.0000 0.0000
Mg1 0.0000 0.0000 0.5000
Au1 0.5000 0.5000 0.2380
# Density of states at the Fermi level: 0.8 states/eV/cell
# Crystal system: orthorhombic
# Volume: 16.64 A^3/atom
# DFT formation energy: -0.58 eV per atom